(1)
DFT (GGA-PBE) results for a geometry-optimized K4Nd3BiO8 structure.

Summary:
**Uncorrected energy**: -0.4548 Ry/atom
**Space group**: R-3m
**Raw formation energy**: -2.30 eV per atom

Cell and atoms, written as POSCAR:
```
K4Nd3BiO8
1.0
-5.734 1.007 -4.356
3.966 -2.735 -5.854
-0.651 -4.082 5.982
O Bi K Nd
8 1 4 3
direct
0.728 0.695 0.962
0.234 0.695 0.962
0.766 0.305 0.533
0.272 0.305 0.038
0.730 0.690 0.460
0.766 0.305 0.038
0.234 0.695 0.467
0.270 0.310 0.540
0.000 0.500 0.000
0.000 0.000 0.000
0.000 0.000 0.500
0.500 0.000 0.500
0.500 0.000 0.000
0.500 0.500 0.000
0.500 0.500 0.500
0.000 0.500 0.500
```



(2)
DFT (GGA-PBE) results for a geometry-optimized K2NdBiO4 structure.

Summary:
**Uncorrected energy**: -0.4272 Ry/atom
**Space group**: P2/m
**Raw formation energy**: -1.98 eV per atom

Cell and atoms, written as POSCAR:
```
K2NdBiO4
1.0
3.633 0.000 0.000
0.000 6.277 0.109
0.000 -2.196 6.279
K O Nd Bi
2 4 1 1
direct
0.500 0.000 0.500
0.000 0.500 0.500
0.500 0.238 0.200
0.000 0.728 0.194
0.500 0.762 0.800
0.000 0.272 0.806
0.500 0.500 0.000
0.000 0.000 0.000
```



(3)
DFT (GGA-PBE) results for a geometry-optimized KNdBiO3 structure.

Summary:
**Uncorrected energy**: -0.4412 Ry/atom
**Space group**: P2_1/m
**Raw formation energy**: -1.90 eV per atom

Cell and atoms, written as POSCAR:
```
KNdBiO3
1.0
3.713 0.000 0.000
0.000 7.377 1.352
0.000 -1.810 9.583
O K Nd Bi
6 2 2 2
direct
0.250 0.599 0.899
0.250 0.183 0.835
0.250 0.670 0.383
0.750 0.817 0.165
0.750 0.330 0.617
0.750 0.401 0.101
0.250 0.117 0.146
0.750 0.883 0.854
0.750 0.403 0.860
0.250 0.597 0.140
0.250 0.174 0.597
0.750 0.826 0.403
```